[1]
! LaFeSe2 | the Alexandria database | GGA-PBE | relaxed; values from VASP
! Formation energy from raw total energies in eV/atom: -0.685
! Uncorrected energy in eV for the cell shown: -23.10
! SG: No. 65
! E above lowest polymorph in eV/f.u.: 1.31
&SYSTEM
  ibrav = 0, nat = 4, ntyp = 3
/
ATOMIC_SPECIES
Fe 55.84 Fe.upf
La 138.91 La.upf
Se 78.96 Se.upf
ATOMIC_POSITIONS crystal
Fe 0.500 0.500 0.250
La 0.500 0.500 0.750
Se 0.000 0.000 0.023
Se 0.000 0.000 0.477
CELL_PARAMETERS angstrom
-0.520 3.451 -0.880
0.292 -1.608 -3.207
-6.956 -1.072 -0.096

[2]
! Ca2AlCd | the Alexandria database | GGA-PBE | relaxed; values from VASP
! Formation energy in meV/atom: -81
! Uncorrected energy in eV for the cell shown: -8.98
! SG: No. 216
&SYSTEM
  ibrav = 0, nat = 4, ntyp = 3
/
ATOMIC_SPECIES
Ca 40.08 Ca.upf
Al 26.98 Al.upf
Cd 112.41 Cd.upf
ATOMIC_POSITIONS crystal
Ca 0.000 0.000 0.000
Ca 0.250 0.250 0.250
Al 0.500 0.500 0.500
Cd 0.750 0.750 0.750
CELL_PARAMETERS angstrom
-4.058 -3.099 -1.335
-1.761 -3.645 3.385
-4.683 0.626 2.351

[3]
! CuPtSN2 | the Alexandria database | GGA-PBE | relaxed; values from VASP
! Formation energy from raw total energies in eV/atom: 1.587
! Uncorrected energy in eV for the cell shown: -22.98
! SG: No. 123
! E above lowest polymorph in eV/f.u.: 1.81
&SYSTEM
  ibrav = 0, nat = 5, ntyp = 4
/
ATOMIC_SPECIES
S 32.06 S.upf
Cu 63.55 Cu.upf
Pt 195.08 Pt.upf
N 14.01 N.upf
ATOMIC_POSITIONS crystal
S 0.000 0.000 0.500
Cu 0.000 0.000 0.000
Pt 0.500 0.500 0.500
N 0.000 0.500 0.000
N 0.500 0.000 0.000
CELL_PARAMETERS angstrom
3.498 0.000 0.000
0.000 3.498 0.000
0.000 0.000 7.448

[4]
! Cs3Pu3CdSe8 | the Alexandria database | GGA-PBE | relaxed; values from VASP
! Formation energy from raw total energies in eV/atom: -1.229
! Uncorrected energy in eV for the cell shown: -92.78
! SG: No. 12
&SYSTEM
  ibrav = 0, nat = 15, ntyp = 4
/
ATOMIC_SPECIES
Cs 132.91 Cs.upf
Pu 244.00 Pu.upf
Cd 112.41 Cd.upf
Se 78.96 Se.upf
ATOMIC_POSITIONS crystal
Cs 0.000 0.000 0.000
Cs 0.000 0.500 0.000
Cs 0.500 0.500 0.000
Pu 0.500 0.000 0.500
Pu 0.500 0.500 0.500
Pu 0.000 0.500 0.500
Cd 0.000 0.000 0.500
Se 0.272 0.544 0.317
Se 0.728 0.456 0.683
Se 0.769 0.538 0.319
Se 0.231 0.462 0.681
Se 0.769 0.050 0.319
Se 0.231 0.950 0.681
Se 0.281 0.050 0.319
Se 0.719 0.950 0.681
CELL_PARAMETERS angstrom
8.449 0.000 0.000
-4.225 7.319 -0.030
0.000 -4.852 8.473

[5]
! Pm7Sn4Pb | the Alexandria database | GGA-PBE | relaxed; values from VASP
! Formation energy in meV/atom: -443
! Uncorrected energy in eV for the cell shown: -58.29
! SG: No. 12
&SYSTEM
  ibrav = 0, nat = 12, ntyp = 3
/
ATOMIC_SPECIES
Pm 145.00 Pm.upf
Sn 118.71 Sn.upf
Pb 207.20 Pb.upf
ATOMIC_POSITIONS crystal
Pm 0.814 0.935 0.438
Pm 0.186 0.065 0.562
Pm 0.049 0.644 0.258
Pm 0.951 0.356 0.742
Pm 0.316 0.580 0.788
Pm 0.500 0.000 0.000
Pm 0.684 0.420 0.212
Sn 0.570 0.241 0.619
Sn 0.430 0.759 0.381
Sn 0.735 0.694 0.836
Sn 0.265 0.306 0.164
Pb 0.000 0.000 0.000
CELL_PARAMETERS angstrom
-3.695 -3.483 3.187
-3.475 -6.387 -5.371
3.464 -7.276 1.703

[6]
! Na2Ga6Pd | the Alexandria database | GGA-PBE | relaxed; values from VASP
! Formation energy in meV/atom: -219
! Uncorrected energy in eV for the cell shown: -27.96
! SG: No. 12
! E above lowest polymorph in eV/f.u.: 0.09
&SYSTEM
  ibrav = 0, nat = 9, ntyp = 3
/
ATOMIC_SPECIES
Na 22.99 Na.upf
Ga 69.72 Ga.upf
Pd 106.42 Pd.upf
ATOMIC_POSITIONS crystal
Na 0.658 0.316 0.127
Na 0.342 0.684 0.873
Ga 0.848 0.240 0.665
Ga 0.871 0.743 0.687
Ga 0.393 0.240 0.665
Ga 0.152 0.760 0.335
Ga 0.129 0.257 0.313
Ga 0.607 0.760 0.335
Pd 0.000 0.000 0.000
CELL_PARAMETERS angstrom
5.828 0.000 0.000
-2.914 4.853 1.097
0.000 0.090 6.171

[7]
! Yb3N2 | the Alexandria database | GGA-PBE | relaxed; values from VASP
! Formation energy from raw total energies in eV/atom: -0.982
! Uncorrected energy in eV for the cell shown: -52.28
! SG: No. 167
&SYSTEM
  ibrav = 0, nat = 10, ntyp = 2
/
ATOMIC_SPECIES
Yb 173.04 Yb.upf
N 14.01 N.upf
ATOMIC_POSITIONS crystal
Yb 0.939 0.250 0.561
Yb 0.250 0.561 0.939
Yb 0.561 0.939 0.250
Yb 0.439 0.061 0.750
Yb 0.750 0.439 0.061
Yb 0.061 0.750 0.439
N 0.846 0.846 0.846
N 0.654 0.654 0.654
N 0.346 0.346 0.346
N 0.154 0.154 0.154
CELL_PARAMETERS angstrom
-0.464 5.987 -2.880
-3.950 1.589 -5.121
-5.273 4.061 0.232

[8]
! La4Y2Ho5 | the Alexandria database | GGA-PBE | relaxed; values from VASP
! Formation energy in meV/atom: 91
! Uncorrected energy in eV for the cell shown: -54.53
! SG: No. 12
&SYSTEM
  ibrav = 0, nat = 11, ntyp = 3
/
ATOMIC_SPECIES
La 138.91 La.upf
Y 88.91 Y.upf
Ho 164.93 Ho.upf
ATOMIC_POSITIONS crystal
La 0.307 0.930 0.614
La 0.980 0.708 0.959
La 0.693 0.070 0.386
La 0.020 0.292 0.041
Y 0.401 0.443 0.803
Y 0.599 0.557 0.197
Ho 0.790 0.596 0.581
Ho 0.210 0.404 0.419
Ho 0.870 0.117 0.740
Ho 0.500 0.000 0.000
Ho 0.130 0.883 0.260
CELL_PARAMETERS angstrom
-1.690 -5.331 1.213
-1.792 -0.886 -6.394
9.742 -0.578 -2.469

[9]
! V3CoTc | the Alexandria database | GGA-PBE | relaxed; values from VASP
! Formation energy in meV/atom: 856
! Uncorrected energy in eV for the cell shown: -40.55
! SG: No. 221
! E above lowest polymorph in eV/f.u.: 0.00
&SYSTEM
  ibrav = 0, nat = 5, ntyp = 3
/
ATOMIC_SPECIES
Co 58.93 Co.upf
Tc 98.00 Tc.upf
V 50.94 V.upf
ATOMIC_POSITIONS crystal
Co 0.000 0.000 0.000
Tc 0.500 0.500 0.500
V 0.000 0.500 0.000
V 0.000 0.000 0.500
V 0.500 0.000 0.000
CELL_PARAMETERS angstrom
-1.586 -1.981 3.403
3.619 -2.178 0.419
1.550 3.058 2.503

[10]
! ScBiRuO6 | the Alexandria database | GGA-PBE | relaxed; values from VASP
! Formation energy from raw total energies in eV/atom: -1.647
! Uncorrected energy in eV for the cell shown: -128.13
! SG: No. 163
&SYSTEM
  ibrav = 0, nat = 18, ntyp = 4
/
ATOMIC_SPECIES
Sc 44.96 Sc.upf
Bi 208.98 Bi.upf
Ru 101.07 Ru.upf
O 16.00 O.upf
ATOMIC_POSITIONS crystal
Sc 0.667 0.333 0.250
Sc 0.333 0.667 0.750
Bi 0.000 0.000 0.000
Bi 0.000 0.000 0.500
Ru 0.333 0.667 0.250
Ru 0.667 0.333 0.750
O 0.629 0.650 0.137
O 0.021 0.371 0.137
O 0.371 0.021 0.637
O 0.979 0.629 0.863
O 0.350 0.371 0.363
O 0.021 0.650 0.363
O 0.650 0.021 0.863
O 0.629 0.979 0.363
O 0.979 0.350 0.637
O 0.350 0.979 0.137
O 0.650 0.629 0.637
O 0.371 0.350 0.863
CELL_PARAMETERS angstrom
5.317 0.000 0.000
-2.659 4.605 0.000
0.000 0.000 9.718

[11]
! PPt3W | the Alexandria database | GGA-PBE | relaxed; values from VASP
! Formation energy in meV/atom: 705
! Uncorrected energy in eV for the cell shown: -32.96
! SG: No. 221
! E above lowest polymorph in eV/f.u.: 0.00
&SYSTEM
  ibrav = 0, nat = 5, ntyp = 3
/
ATOMIC_SPECIES
P 30.97 P.upf
W 183.84 W.upf
Pt 195.08 Pt.upf
ATOMIC_POSITIONS crystal
P 0.000 0.000 0.000
W 0.500 0.500 0.500
Pt 0.000 0.500 0.000
Pt 0.000 0.000 0.500
Pt 0.500 0.000 0.000
CELL_PARAMETERS angstrom
4.483 0.000 0.000
0.000 4.483 0.000
0.000 0.000 4.483

[12]
! Zr3TiNb3N8 | the Alexandria database | GGA-PBE | relaxed; values from VASP
! Formation energy from raw total energies in eV/atom: -1.321
! Uncorrected energy in eV for the cell shown: -150.16
! SG: No. 166
&SYSTEM
  ibrav = 0, nat = 15, ntyp = 4
/
ATOMIC_SPECIES
Zr 91.22 Zr.upf
Ti 47.87 Ti.upf
Nb 92.91 Nb.upf
N 14.01 N.upf
ATOMIC_POSITIONS crystal
Zr 0.000 0.000 0.000
Zr 0.000 0.500 0.000
Zr 0.500 0.500 0.000
Ti 0.000 0.000 0.500
Nb 0.500 0.000 0.500
Nb 0.500 0.500 0.500
Nb 0.000 0.500 0.500
N 0.251 0.502 0.253
N 0.749 0.498 0.747
N 0.761 0.522 0.266
N 0.239 0.478 0.734
N 0.761 0.005 0.266
N 0.239 0.995 0.734
N 0.244 0.005 0.266
N 0.756 0.995 0.734
CELL_PARAMETERS angstrom
-6.147 -1.259 -0.283
3.442 -2.209 4.767
-1.254 6.205 -0.356

[13]
! KBeAs | the Alexandria database | GGA-PBE | relaxed; values from VASP
! Formation energy in meV/atom: -343
! Uncorrected energy in eV for the cell shown: -21.01
! SG: No. 129
&SYSTEM
  ibrav = 0, nat = 6, ntyp = 3
/
ATOMIC_SPECIES
K 39.10 K.upf
Be 9.01 Be.upf
As 74.92 As.upf
ATOMIC_POSITIONS crystal
K 0.000 0.500 0.284
K 0.500 0.000 0.716
Be 0.000 0.000 0.000
Be 0.500 0.500 0.000
As 0.000 0.500 0.871
As 0.500 0.000 0.129
CELL_PARAMETERS angstrom
-1.563 1.520 -3.332
-3.128 -2.437 0.356
-4.762 6.899 5.381

[14]
! K2YOs | the Alexandria database | GGA-PBE | relaxed; values from VASP
! Formation energy in meV/atom: 502
! Uncorrected energy in eV for the cell shown: -17.88
! SG: No. 6
! E above lowest polymorph in eV/f.u.: 0.00
&SYSTEM
  ibrav = 0, nat = 4, ntyp = 3
/
ATOMIC_SPECIES
K 39.10 K.upf
Os 190.23 Os.upf
Y 88.91 Y.upf
ATOMIC_POSITIONS crystal
K 0.000 0.051 0.962
K 0.500 0.153 0.337
Os 0.000 0.451 0.546
Y 0.500 0.846 0.655
CELL_PARAMETERS angstrom
3.606 0.000 0.000
0.000 3.609 0.005
0.000 3.466 11.274

[15]
! La2Sm3Dy4 | the Alexandria database | GGA-PBE | relaxed; values from VASP
! Formation energy in meV/atom: 113
! Uncorrected energy in eV for the cell shown: -41.40
! SG: No. 12
! E above lowest polymorph in eV/f.u.: 0.50
&SYSTEM
  ibrav = 0, nat = 9, ntyp = 3
/
ATOMIC_SPECIES
La 138.91 La.upf
Sm 150.36 Sm.upf
Dy 162.50 Dy.upf
ATOMIC_POSITIONS crystal
La 0.666 0.331 0.335
La 0.334 0.669 0.665
Sm 0.893 0.785 0.435
Sm 0.107 0.215 0.565
Sm 0.000 0.000 0.000
Dy 0.777 0.554 0.901
Dy 0.223 0.446 0.099
Dy 0.442 0.885 0.226
Dy 0.558 0.115 0.774
CELL_PARAMETERS angstrom
5.993 0.000 0.000
-2.996 7.824 -2.520
0.000 0.308 6.364

[16]
! NbSb2Pt | the Alexandria database | GGA-PBE | relaxed; values from VASP
! Formation energy from raw total energies in eV/atom: 0.039
! Uncorrected energy in eV for the cell shown: -24.20
! SG: No. 225
! E above lowest polymorph in eV/f.u.: 0.04
&SYSTEM
  ibrav = 0, nat = 4, ntyp = 3
/
ATOMIC_SPECIES
Sb 121.76 Sb.upf
Nb 92.91 Nb.upf
Pt 195.08 Pt.upf
ATOMIC_POSITIONS crystal
Sb 0.250 0.250 0.250
Sb 0.750 0.750 0.750
Nb 0.000 0.000 0.000
Pt 0.500 0.500 0.500
CELL_PARAMETERS angstrom
-1.580 -3.625 2.783
-4.360 -1.934 -0.793
-0.370 -4.463 -1.823

[17]
! Sr5Mg2Tl | the Alexandria database | GGA-PBE | relaxed; values from VASP
! Formation energy in meV/atom: -123
! Uncorrected energy in eV for the cell shown: -29.90
! SG: No. 55
&SYSTEM
  ibrav = 0, nat = 16, ntyp = 3
/
ATOMIC_SPECIES
Sr 87.62 Sr.upf
Mg 24.30 Mg.upf
Tl 204.38 Tl.upf
ATOMIC_POSITIONS crystal
Sr 0.500 0.336 0.103
Sr 0.500 0.664 0.897
Sr 0.500 0.836 0.397
Sr 0.500 0.164 0.603
Sr 0.000 0.874 0.723
Sr 0.000 0.126 0.277
Sr 0.000 0.374 0.777
Sr 0.000 0.626 0.223
Sr 0.000 0.500 0.500
Sr 0.000 0.000 0.000
Mg 0.500 0.361 0.363
Mg 0.500 0.639 0.637
Mg 0.500 0.139 0.863
Mg 0.500 0.861 0.137
Tl 0.000 0.000 0.500
Tl 0.000 0.500 0.000
CELL_PARAMETERS angstrom
-3.820 -4.421 0.130
4.410 -3.664 4.971
-7.066 6.431 11.009

[18]
! YZr2W | the Alexandria database | GGA-PBE | relaxed; values from VASP
! Formation energy in meV/atom: 647
! Uncorrected energy in eV for the cell shown: -67.85
! SG: No. 122
! E above lowest polymorph in eV/f.u.: 1.92
&SYSTEM
  ibrav = 0, nat = 8, ntyp = 3
/
ATOMIC_SPECIES
Y 88.91 Y.upf
Zr 91.22 Zr.upf
W 183.84 W.upf
ATOMIC_POSITIONS crystal
Y 0.500 0.500 0.000
Y 0.250 0.750 0.500
Zr 0.669 0.125 0.250
Zr 0.081 0.625 0.250
Zr 0.375 0.331 0.750
Zr 0.875 0.919 0.750
W 0.000 0.000 0.000
W 0.750 0.250 0.500
CELL_PARAMETERS angstrom
7.949 0.000 0.000
0.000 7.949 0.000
3.974 3.974 3.056

[19]
! TaZnPd2 | the Alexandria database | GGA-PBE | relaxed; values from VASP
! Formation energy in meV/atom: -444
! Uncorrected energy in eV for the cell shown: -25.29
! SG: No. 123
&SYSTEM
  ibrav = 0, nat = 4, ntyp = 3
/
ATOMIC_SPECIES
Zn 65.41 Zn.upf
Pd 106.42 Pd.upf
Ta 180.95 Ta.upf
ATOMIC_POSITIONS crystal
Zn 0.500 0.500 0.000
Pd 0.000 0.000 0.764
Pd 0.000 0.000 0.236
Ta 0.500 0.500 0.500
CELL_PARAMETERS angstrom
-1.648 -1.115 -2.046
1.732 -2.263 -0.162
-4.133 -3.540 5.259

[20]
! Fe2MoAs | the Alexandria database | GGA-PBE | relaxed; values from VASP
! Formation energy in meV/atom: 244
! Uncorrected energy in eV for the cell shown: -31.43
! SG: No. 35
&SYSTEM
  ibrav = 0, nat = 4, ntyp = 3
/
ATOMIC_SPECIES
As 74.92 As.upf
Fe 55.84 Fe.upf
Mo 95.94 Mo.upf
ATOMIC_POSITIONS crystal
As 0.500 0.500 0.763
Fe 0.000 0.000 0.005
Fe 0.500 0.500 0.238
Mo 0.000 0.000 0.493
CELL_PARAMETERS angstrom
2.734 0.009 0.000
-0.822 2.607 0.000
0.000 0.000 7.911

[21]
! Rb3ZrSc3Se8 | the Alexandria database | GGA-PBE | relaxed; values from VASP
! Formation energy from raw total energies in eV/atom: -1.568
! Uncorrected energy in eV for the cell shown: -81.84
! SG: No. 2
&SYSTEM
  ibrav = 0, nat = 15, ntyp = 4
/
ATOMIC_SPECIES
Rb 85.47 Rb.upf
Zr 91.22 Zr.upf
Sc 44.96 Sc.upf
Se 78.96 Se.upf
ATOMIC_POSITIONS crystal
Rb 0.000 0.000 0.000
Rb 0.000 0.500 0.000
Rb 0.500 0.500 0.000
Zr 0.000 0.000 0.500
Sc 0.500 0.000 0.500
Sc 0.500 0.500 0.500
Sc 0.000 0.500 0.500
Se 0.271 0.542 0.315
Se 0.729 0.458 0.685
Se 0.771 0.543 0.314
Se 0.229 0.457 0.686
Se 0.771 0.042 0.314
Se 0.229 0.958 0.686
Se 0.271 0.042 0.314
Se 0.729 0.958 0.686
CELL_PARAMETERS angstrom
-5.900 -3.090 4.287
7.466 -2.322 1.275
-2.111 8.484 3.213

[22]
! Hg2Bi2Pb | the Alexandria database | GGA-PBE | relaxed; values from VASP
! Formation energy in meV/atom: 56
! Uncorrected energy in eV for the cell shown: -11.80
! SG: No. 2
! E above lowest polymorph in eV/f.u.: 0.00
&SYSTEM
  ibrav = 0, nat = 5, ntyp = 3
/
ATOMIC_SPECIES
Hg 200.59 Hg.upf
Bi 208.98 Bi.upf
Pb 207.20 Pb.upf
ATOMIC_POSITIONS crystal
Hg 0.531 0.205 0.410
Hg 0.469 0.795 0.590
Bi 0.687 0.592 0.186
Bi 0.313 0.408 0.814
Pb 0.000 0.000 0.000
CELL_PARAMETERS angstrom
3.286 -0.077 -0.961
-0.250 5.136 -1.306
-0.792 -0.367 9.464

[23]
! Cs3LaTl2Br9 | the Alexandria database | GGA-PBE | relaxed; values from VASP
! Formation energy from raw total energies in eV/atom: -1.482
! Uncorrected energy in eV for the cell shown: -49.51
! SG: No. 164
&SYSTEM
  ibrav = 0, nat = 15, ntyp = 4
/
ATOMIC_SPECIES
Cs 132.91 Cs.upf
La 138.91 La.upf
Tl 204.38 Tl.upf
Br 79.90 Br.upf
ATOMIC_POSITIONS crystal
Cs 0.333 0.667 0.685
Cs 0.000 0.000 0.000
Cs 0.667 0.333 0.315
La 0.000 0.000 0.500
Tl 0.333 0.667 0.155
Tl 0.667 0.333 0.845
Br 0.838 0.162 0.660
Br 0.838 0.676 0.660
Br 0.324 0.162 0.660
Br 0.676 0.838 0.340
Br 0.162 0.324 0.340
Br 0.162 0.838 0.340
Br 0.500 0.000 0.000
Br 0.000 0.500 0.000
Br 0.500 0.500 0.000
CELL_PARAMETERS angstrom
-7.262 -0.085 4.500
5.789 -6.183 1.115
4.598 5.663 7.526